No. 1
Ac4DyEr | PBE | relaxed

Offset from the most stable computed form   0.0 meV/atom
E   -4.093 eV per atom
SG   Pmmm, No. 47
Energy relative to the elements   16.7 kJ/mol of atoms

Geometry as CIF:
```
data_Ac4DyEr
_chemical_formula_sum 'Ac8 Dy2 Er2'
_symmetry_space_group_name_H-M 'P 1'
_symmetry_Int_Tables_number 1
_cell_length_a 5.810
_cell_length_b 7.434
_cell_length_c 11.255
_cell_angle_alpha 90.00
_cell_angle_beta 90.00
_cell_angle_gamma 90.00
loop_
_symmetry_equiv_pos_as_xyz
'x,y,z'
loop_
_atom_site_label
_atom_site_type_symbol
_atom_site_fract_x
_atom_site_fract_y
_atom_site_fract_z
_atom_site_occupancy
Ac1 Ac 0.000 0.500 0.657 1
Ac2 Ac 0.500 0.500 0.844 1
Ac3 Ac 0.000 0.000 0.343 1
Ac4 Ac 0.500 0.500 0.156 1
Ac5 Ac 0.500 0.000 0.156 1
Ac6 Ac 0.000 0.000 0.657 1
Ac7 Ac 0.500 0.000 0.844 1
Ac8 Ac 0.000 0.500 0.343 1
Dy1 Dy 0.500 0.750 0.500 1
Dy2 Dy 0.500 0.250 0.500 1
Er1 Er 0.000 0.750 0.000 1
Er2 Er 0.000 0.250 0.000 1
```

No. 2
AcDy2Er | PBE | relaxed

Offset from the most stable computed form   122.2 meV/atom
E   -4.284 eV per atom
SG   R-3m, No. 166
Energy relative to the elements   17.8 kJ/mol of atoms

Geometry as CIF:
```
data_AcDy2Er
_chemical_formula_sum 'Ac1 Dy2 Er1'
_symmetry_space_group_name_H-M 'P 1'
_symmetry_Int_Tables_number 1
_cell_length_a 3.566
_cell_length_b 3.566
_cell_length_c 12.793
_cell_angle_alpha 81.99
_cell_angle_beta 81.99
_cell_angle_gamma 60.00
loop_
_symmetry_equiv_pos_as_xyz
'x,y,z'
loop_
_atom_site_label
_atom_site_type_symbol
_atom_site_fract_x
_atom_site_fract_y
_atom_site_fract_z
_atom_site_occupancy
Ac1 Ac 0.000 0.000 0.000 1
Dy1 Dy 0.093 0.093 0.721 1
Dy2 Dy 0.907 0.907 0.279 1
Er1 Er 0.500 0.500 0.500 1
```

No. 3
Ac2Dy4Er5 | PBE | relaxed

E   -4.442 eV per atom
SG   P-1, No. 2
Energy relative to the elements   5.0 kJ/mol of atoms

Geometry as CIF:
```
data_Ac2Dy4Er5
_chemical_formula_sum 'Ac2 Dy4 Er5'
_symmetry_space_group_name_H-M 'P 1'
_symmetry_Int_Tables_number 1
_cell_length_a 6.244
_cell_length_b 9.540
_cell_length_c 12.966
_cell_angle_alpha 125.05
_cell_angle_beta 143.07
_cell_angle_gamma 71.16
loop_
_symmetry_equiv_pos_as_xyz
'x,y,z'
loop_
_atom_site_label
_atom_site_type_symbol
_atom_site_fract_x
_atom_site_fract_y
_atom_site_fract_z
_atom_site_occupancy
Ac1 Ac 0.222 0.266 0.314 1
Ac2 Ac 0.778 0.734 0.686 1
Dy1 Dy 0.149 0.364 0.597 1
Dy2 Dy 0.851 0.636 0.403 1
Dy3 Dy 0.606 0.907 0.232 1
Dy4 Dy 0.394 0.093 0.768 1
Er1 Er 0.310 0.186 0.042 1
Er2 Er 0.690 0.814 0.958 1
Er3 Er 0.500 0.000 0.500 1
Er4 Er 0.946 0.547 0.131 1
Er5 Er 0.054 0.453 0.869 1
```

No. 4
Ac5DyEr | PBE | relaxed

E   -4.002 eV per atom
SG   C2/c, No. 15
Energy relative to the elements   23.3 kJ/mol of atoms

Geometry as CIF:
```
data_Ac5DyEr
_chemical_formula_sum 'Ac10 Dy2 Er2'
_symmetry_space_group_name_H-M 'P 1'
_symmetry_Int_Tables_number 1
_cell_length_a 6.868
_cell_length_b 7.202
_cell_length_c 12.661
_cell_angle_alpha 93.11
_cell_angle_beta 74.26
_cell_angle_gamma 101.54
loop_
_symmetry_equiv_pos_as_xyz
'x,y,z'
loop_
_atom_site_label
_atom_site_type_symbol
_atom_site_fract_x
_atom_site_fract_y
_atom_site_fract_z
_atom_site_occupancy
Ac1 Ac 0.216 0.344 0.096 1
Ac2 Ac 0.178 0.501 0.596 1
Ac3 Ac 0.361 0.750 0.279 1
Ac4 Ac 0.226 0.999 0.596 1
Ac5 Ac 0.312 0.844 0.904 1
Ac6 Ac 0.688 0.156 0.096 1
Ac7 Ac 0.774 0.001 0.404 1
Ac8 Ac 0.639 0.250 0.721 1
Ac9 Ac 0.822 0.499 0.404 1
Ac10 Ac 0.784 0.656 0.904 1
Dy1 Dy 0.329 0.250 0.343 1
Dy2 Dy 0.671 0.750 0.657 1
Er1 Er 0.079 0.250 0.842 1
Er2 Er 0.921 0.750 0.158 1
```

No. 5
AcDy2Er7 | PBE | relaxed

E   -4.468 eV per atom
SG   Immm, No. 71
Energy relative to the elements   5.5 kJ/mol of atoms

Geometry as CIF:
```
data_AcDy2Er7
_chemical_formula_sum 'Ac1 Dy2 Er7'
_symmetry_space_group_name_H-M 'P 1'
_symmetry_Int_Tables_number 1
_cell_length_a 5.431
_cell_length_b 8.918
_cell_length_c 9.472
_cell_angle_alpha 118.09
_cell_angle_beta 73.34
_cell_angle_gamma 127.56
loop_
_symmetry_equiv_pos_as_xyz
'x,y,z'
loop_
_atom_site_label
_atom_site_type_symbol
_atom_site_fract_x
_atom_site_fract_y
_atom_site_fract_z
_atom_site_occupancy
Ac1 Ac 0.000 0.000 0.000 1
Dy1 Dy 0.499 0.700 0.399 1
Dy2 Dy 0.501 0.300 0.601 1
Er1 Er 0.999 0.796 0.592 1
Er2 Er 0.001 0.204 0.408 1
Er3 Er 0.245 0.633 0.777 1
Er4 Er 0.755 0.367 0.223 1
Er5 Er 0.245 0.857 0.223 1
Er6 Er 0.755 0.143 0.777 1
Er7 Er 0.500 0.500 0.000 1
```

No. 6
AcDy2Er | PBE | relaxed

Offset from the most stable computed form   84.3 meV/atom
E   -4.322 eV per atom
SG   Fm-3m, No. 225
Energy relative to the elements   14.2 kJ/mol of atoms

Geometry as CIF:
```
data_AcDy2Er
_chemical_formula_sum 'Ac1 Dy2 Er1'
_symmetry_space_group_name_H-M 'P 1'
_symmetry_Int_Tables_number 1
_cell_length_a 5.806
_cell_length_b 5.806
_cell_length_c 5.806
_cell_angle_alpha 60.00
_cell_angle_beta 60.00
_cell_angle_gamma 60.00
loop_
_symmetry_equiv_pos_as_xyz
'x,y,z'
loop_
_atom_site_label
_atom_site_type_symbol
_atom_site_fract_x
_atom_site_fract_y
_atom_site_fract_z
_atom_site_occupancy
Ac1 Ac 0.500 0.500 0.500 1
Dy1 Dy 0.250 0.250 0.250 1
Dy2 Dy 0.750 0.750 0.750 1
Er1 Er 0.000 0.000 0.000 1
```

No. 7
Ac2Dy5Er | PBE | relaxed

E   -4.413 eV per atom
SG   I4/mmm, No. 139
Energy relative to the elements   5.9 kJ/mol of atoms

Geometry as CIF:
```
data_Ac2Dy5Er
_chemical_formula_sum 'Ac2 Dy5 Er1'
_symmetry_space_group_name_H-M 'P 1'
_symmetry_Int_Tables_number 1
_cell_length_a 5.216
_cell_length_b 5.216
_cell_length_c 10.756
_cell_angle_alpha 104.03
_cell_angle_beta 104.03
_cell_angle_gamma 90.00
loop_
_symmetry_equiv_pos_as_xyz
'x,y,z'
loop_
_atom_site_label
_atom_site_type_symbol
_atom_site_fract_x
_atom_site_fract_y
_atom_site_fract_z
_atom_site_occupancy
Ac1 Ac 0.750 0.750 0.500 1
Ac2 Ac 0.250 0.250 0.500 1
Dy1 Dy 0.500 0.500 0.000 1
Dy2 Dy 0.382 0.882 0.764 1
Dy3 Dy 0.882 0.382 0.764 1
Dy4 Dy 0.618 0.118 0.236 1
Dy5 Dy 0.118 0.618 0.236 1
Er1 Er 0.000 0.000 0.000 1
```

No. 8
Ac14DyEr | PBE | relaxed

E   -4.136 eV per atom
SG   Cmmm, No. 65
Energy relative to the elements   3.0 kJ/mol of atoms

Geometry as CIF:
```
data_Ac14DyEr
_chemical_formula_sum 'Ac14 Dy1 Er1'
_symmetry_space_group_name_H-M 'P 1'
_symmetry_Int_Tables_number 1
_cell_length_a 7.862
_cell_length_b 7.862
_cell_length_c 11.178
_cell_angle_alpha 90.00
_cell_angle_beta 90.00
_cell_angle_gamma 89.96
loop_
_symmetry_equiv_pos_as_xyz
'x,y,z'
loop_
_atom_site_label
_atom_site_type_symbol
_atom_site_fract_x
_atom_site_fract_y
_atom_site_fract_z
_atom_site_occupancy
Ac1 Ac 0.375 0.625 0.500 1
Ac2 Ac 0.875 0.125 0.500 1
Ac3 Ac 0.875 0.625 0.000 1
Ac4 Ac 0.875 0.625 0.500 1
Ac5 Ac 0.375 0.125 0.000 1
Ac6 Ac 0.375 0.125 0.500 1
Ac7 Ac 0.625 0.875 0.757 1
Ac8 Ac 0.625 0.875 0.243 1
Ac9 Ac 0.125 0.375 0.757 1
Ac10 Ac 0.125 0.375 0.243 1
Ac11 Ac 0.125 0.875 0.757 1
Ac12 Ac 0.125 0.875 0.243 1
Ac13 Ac 0.625 0.375 0.757 1
Ac14 Ac 0.625 0.375 0.243 1
Dy1 Dy 0.875 0.125 0.000 1
Er1 Er 0.375 0.625 0.000 1
```

No. 9
AcDy12Er2 | PBE | relaxed

E   -4.472 eV per atom
SG   P2/m, No. 10
Energy relative to the elements   8.8 kJ/mol of atoms

Geometry as CIF:
```
data_AcDy12Er2
_chemical_formula_sum 'Ac2 Dy24 Er4'
_symmetry_space_group_name_H-M 'P 1'
_symmetry_Int_Tables_number 1
_cell_length_a 6.654
_cell_length_b 6.654
_cell_length_c 31.226
_cell_angle_alpha 110.31
_cell_angle_beta 69.69
_cell_angle_gamma 66.01
loop_
_symmetry_equiv_pos_as_xyz
'x,y,z'
loop_
_atom_site_label
_atom_site_type_symbol
_atom_site_fract_x
_atom_site_fract_y
_atom_site_fract_z
_atom_site_occupancy
Ac1 Ac 0.500 0.000 0.000 1
Ac2 Ac 0.000 0.500 0.000 1
Dy1 Dy 0.572 0.428 0.793 1
Dy2 Dy 0.072 0.928 0.793 1
Dy3 Dy 0.923 0.577 0.847 1
Dy4 Dy 0.201 0.799 0.927 1
Dy5 Dy 0.847 0.153 0.328 1
Dy6 Dy 0.299 0.701 0.073 1
Dy7 Dy 0.724 0.276 0.555 1
Dy8 Dy 0.347 0.653 0.328 1
Dy9 Dy 0.423 0.077 0.847 1
Dy10 Dy 0.577 0.923 0.153 1
Dy11 Dy 0.177 0.323 0.572 1
Dy12 Dy 0.776 0.224 0.445 1
Dy13 Dy 0.153 0.847 0.672 1
Dy14 Dy 0.323 0.177 0.428 1
Dy15 Dy 0.077 0.423 0.153 1
Dy16 Dy 0.823 0.677 0.428 1
Dy17 Dy 0.677 0.823 0.572 1
Dy18 Dy 0.928 0.072 0.207 1
Dy19 Dy 0.224 0.776 0.555 1
Dy20 Dy 0.653 0.347 0.672 1
Dy21 Dy 0.701 0.299 0.927 1
Dy22 Dy 0.428 0.572 0.207 1
Dy23 Dy 0.276 0.724 0.445 1
Dy24 Dy 0.799 0.201 0.073 1
Er1 Er 0.452 0.048 0.290 1
Er2 Er 0.952 0.548 0.290 1
Er3 Er 0.048 0.452 0.710 1
Er4 Er 0.548 0.952 0.710 1
```

No. 10
AcDy6Er5 | PBE | relaxed

E   -4.510 eV per atom
SG   C2/m, No. 12
Energy relative to the elements   3.4 kJ/mol of atoms

Geometry as CIF:
```
data_AcDy6Er5
_chemical_formula_sum 'Ac1 Dy6 Er5'
_symmetry_space_group_name_H-M 'P 1'
_symmetry_Int_Tables_number 1
_cell_length_a 11.812
_cell_length_b 6.168
_cell_length_c 6.166
_cell_angle_alpha 59.99
_cell_angle_beta 85.02
_cell_angle_gamma 80.00
loop_
_symmetry_equiv_pos_as_xyz
'x,y,z'
loop_
_atom_site_label
_atom_site_type_symbol
_atom_site_fract_x
_atom_site_fract_y
_atom_site_fract_z
_atom_site_occupancy
Ac1 Ac 0.000 0.000 0.000 1
Er1 Er 0.500 0.167 0.666 1
Er2 Er 0.000 0.333 0.333 1
Er3 Er 0.500 0.500 0.000 1
Er4 Er 0.000 0.667 0.667 1
Er5 Er 0.500 0.833 0.334 1
Dy1 Dy 0.745 0.085 0.337 1
Dy2 Dy 0.255 0.578 0.337 1
Dy3 Dy 0.255 0.251 0.000 1
Dy4 Dy 0.745 0.749 0.000 1
Dy5 Dy 0.745 0.422 0.663 1
Dy6 Dy 0.255 0.915 0.663 1
```